No. 1
! NdMgAsO (PBE, relaxed); values from VASP
! M_tot: 0.00 μB per formula unit
! Theoretical density: 5.136 Mg/m³
! Volume: 20.97 A^3/atom
! VASP energy: -5.74 eV/atom
&SYSTEM
  ibrav = 0, nat = 8, ntyp = 4
/
ATOMIC_SPECIES
Nd 144.24 Nd.upf
Mg 24.30 Mg.upf
As 74.92 As.upf
O 16.00 O.upf
ATOMIC_POSITIONS crystal
Nd 0.000 0.055 0.000
Nd 0.000 0.945 0.500
Mg 0.500 0.369 0.342
Mg 0.500 0.631 0.842
As 0.500 0.234 0.716
As 0.500 0.766 0.216
O 0.000 0.252 0.283
O 0.000 0.748 0.783
CELL_PARAMETERS angstrom
3.832 0.000 0.000
0.000 6.243 0.000
0.000 0.000 7.015

***

No. 2
! Zn14C (PBE, relaxed); values from VASP
! Theoretical density: 6.438 Mg/m³
! Volume: 15.95 A^3/atom
! VASP energy: -1.44 eV/atom
&SYSTEM
  ibrav = 0, nat = 15, ntyp = 2
/
ATOMIC_SPECIES
Zn 65.41 Zn.upf
C 12.01 C.upf
ATOMIC_POSITIONS crystal
Zn 0.158 0.158 0.158
Zn 0.181 0.500 0.819
Zn 0.181 0.819 0.500
Zn 0.205 0.205 0.580
Zn 0.205 0.580 0.205
Zn 0.420 0.795 0.795
Zn 0.500 0.181 0.819
Zn 0.500 0.819 0.181
Zn 0.580 0.205 0.205
Zn 0.795 0.420 0.795
Zn 0.795 0.795 0.420
Zn 0.819 0.181 0.500
Zn 0.819 0.500 0.181
Zn 0.842 0.842 0.842
C 0.000 0.000 0.000
CELL_PARAMETERS angstrom
4.030 2.327 4.253
-4.030 2.327 4.253
0.000 -4.653 4.253

***

No. 3
! ZrGaCoPt (PBE, relaxed); values from VASP
! M_tot: 1.57 μB per formula unit
! Theoretical density: 10.660 Mg/m³
! Energy relative to the lowest polymorph listed for this composition: 81 kJ/mol of formula units
! Volume: 16.16 A^3/atom
! VASP energy: -6.56 eV/atom
&SYSTEM
  ibrav = 0, nat = 16, ntyp = 4
/
ATOMIC_SPECIES
Zr 91.22 Zr.upf
Ga 69.72 Ga.upf
Co 58.93 Co.upf
Pt 195.08 Pt.upf
ATOMIC_POSITIONS crystal
Zr 0.000 0.000 0.000
Zr 0.000 0.500 0.500
Zr 0.500 0.000 0.500
Zr 0.500 0.500 0.000
Ga 0.250 0.250 0.250
Ga 0.250 0.750 0.750
Ga 0.750 0.250 0.750
Ga 0.750 0.750 0.250
Co 0.000 0.000 0.500
Co 0.000 0.500 0.000
Co 0.500 0.000 0.000
Co 0.500 0.500 0.500
Pt 0.250 0.250 0.750
Pt 0.250 0.750 0.250
Pt 0.750 0.250 0.250
Pt 0.750 0.750 0.750
CELL_PARAMETERS angstrom
6.371 0.000 0.000
0.000 6.371 0.000
0.000 0.000 6.371

***

No. 4
! NaCuPdSe3 (PBE, relaxed); values from VASP
! Theoretical density: 5.711 Mg/m³
! Energy relative to the lowest polymorph listed for this composition: 11 kJ/mol of formula units
! Volume: 20.83 A^3/atom
! VASP energy: -3.85 eV/atom
&SYSTEM
  ibrav = 0, nat = 12, ntyp = 4
/
ATOMIC_SPECIES
Na 22.99 Na.upf
Cu 63.55 Cu.upf
Pd 106.42 Pd.upf
Se 78.96 Se.upf
ATOMIC_POSITIONS crystal
Na 0.141 0.141 0.062
Na 0.859 0.859 0.938
Cu 0.494 0.494 0.286
Cu 0.506 0.506 0.714
Pd 0.173 0.173 0.595
Pd 0.827 0.827 0.405
Se 0.000 0.000 0.500
Se 0.334 0.334 0.214
Se 0.343 0.343 0.608
Se 0.500 0.500 0.000
Se 0.657 0.657 0.392
Se 0.666 0.666 0.786
CELL_PARAMETERS angstrom
8.082 -1.910 0.000
8.082 1.910 0.000
-2.532 0.000 8.098

***

No. 5
! PrMgCuTe2S (PBE, relaxed); values from VASP
! M_tot: 0.00 μB per formula unit
! Theoretical density: 5.694 Mg/m³
! Volume: 25.08 A^3/atom
! VASP energy: -4.29 eV/atom
&SYSTEM
  ibrav = 0, nat = 12, ntyp = 5
/
ATOMIC_SPECIES
Pr 140.91 Pr.upf
Mg 24.30 Mg.upf
Cu 63.55 Cu.upf
Te 127.60 Te.upf
S 32.06 S.upf
ATOMIC_POSITIONS crystal
Pr 0.000 0.000 0.000
Pr 0.000 0.000 0.500
Mg 0.275 0.725 0.750
Mg 0.725 0.275 0.250
Cu 0.485 0.515 0.250
Cu 0.515 0.485 0.750
Te 0.340 0.660 0.087
Te 0.340 0.660 0.413
Te 0.660 0.340 0.587
Te 0.660 0.340 0.913
S 0.086 0.914 0.250
S 0.914 0.086 0.750
CELL_PARAMETERS angstrom
2.034 -6.739 0.000
2.034 6.739 0.000
0.000 0.000 10.977

***

No. 6
! Al2CoIr (PBE, relaxed); values from VASP
! M_tot: 1.10 μB per formula unit
! Theoretical density: 9.473 Mg/m³
! Energy relative to the lowest polymorph listed for this composition: 191 kJ/mol of formula units
! Volume: 13.37 A^3/atom
! VASP energy: -6.15 eV/atom
&SYSTEM
  ibrav = 0, nat = 16, ntyp = 3
/
ATOMIC_SPECIES
Al 26.98 Al.upf
Co 58.93 Co.upf
Ir 192.22 Ir.upf
ATOMIC_POSITIONS crystal
Al 0.000 0.000 0.000
Al 0.000 0.500 0.500
Al 0.250 0.250 0.250
Al 0.250 0.750 0.750
Al 0.500 0.000 0.500
Al 0.500 0.500 0.000
Al 0.750 0.250 0.750
Al 0.750 0.750 0.250
Co 0.250 0.250 0.750
Co 0.250 0.750 0.250
Co 0.750 0.250 0.250
Co 0.750 0.750 0.750
Ir 0.000 0.000 0.500
Ir 0.000 0.500 0.000
Ir 0.500 0.000 0.000
Ir 0.500 0.500 0.500
CELL_PARAMETERS angstrom
5.981 0.000 0.000
0.000 5.981 0.000
0.000 0.000 5.981